# Ba2Cr2CuF14 PBE with a Hubbard U optimized geometry
data_Ba2Cr2CuF14
_chemical_formula_sum 'Ba4 Cr4 Cu2 F28'
_symmetry_space_group_name_H-M 'P 1'
_symmetry_Int_Tables_number 1
_cell_length_a 7.637
_cell_length_b 7.637
_cell_length_c 15.308
_cell_angle_alpha 90.55
_cell_angle_beta 90.55
_cell_angle_gamma 40.72
loop_
_symmetry_equiv_pos_as_xyz
'x,y,z'
loop_
_atom_site_label
_atom_site_fract_x
_atom_site_fract_y
_atom_site_fract_z
Ba1 0.105 0.238 0.129
Ba2 0.238 0.105 0.629
Ba3 0.762 0.895 0.371
Ba4 0.895 0.762 0.871
Cr1 0.105 0.152 0.377
Cr2 0.152 0.105 0.877
Cr3 0.848 0.895 0.123
Cr4 0.895 0.848 0.623
Cu1 0.500 0.500 0.000
Cu2 0.500 0.500 0.500
F1 0.015 0.352 0.786
F2 0.060 0.918 0.153
F3 0.082 0.940 0.347
F4 0.108 0.600 0.049
F5 0.116 0.719 0.521
F6 0.138 0.360 0.413
F7 0.163 0.577 0.696
F8 0.281 0.884 0.979
F9 0.352 0.015 0.286
F10 0.360 0.138 0.913
F11 0.382 0.495 0.895
F12 0.400 0.892 0.451
F13 0.423 0.837 0.804
F14 0.495 0.382 0.395
F15 0.505 0.618 0.605
F16 0.577 0.163 0.196
F17 0.600 0.108 0.549
F18 0.618 0.505 0.105
F19 0.640 0.862 0.087
F20 0.648 0.985 0.714
F21 0.719 0.116 0.021
F22 0.837 0.423 0.304
F23 0.862 0.640 0.587
F24 0.884 0.281 0.479
F25 0.892 0.400 0.951
F26 0.918 0.060 0.653
F27 0.940 0.082 0.847
F28 0.985 0.648 0.214
# symmetry: No. 15
# E_tot: -5.323 eV per atom